# Pr2NbGe3 | Alexandria | PBE | optimized geometry
data_Pr2NbGe3
_symmetry_space_group_name_H-M 'I m m m'
_symmetry_Int_Tables_number 71
_symmetry_space_group_name_Hall '-I 2 2'
_cell_length_a 4.091
_cell_length_b 5.794
_cell_length_c 12.295
_cell_angle_alpha 90.00
_cell_angle_beta 90.00
_cell_angle_gamma 90.00
loop_
_atom_site_label
_atom_site_type_symbol
_atom_site_fract_x
_atom_site_fract_y
_atom_site_fract_z
Pr1 Pr 0.000 0.000 0.173
Nb1 Nb 0.000 0.000 0.500
Ge1 Ge 0.000 0.500 0.142
Ge2 Ge 0.000 0.500 0.500
# calculated volume = 291 Å³ per cell
# raw total energy = -6.07 eV/atom
# energy of formation = -494 meV per atom

***

# PrNbGe2Ru | Alexandria | PBE | optimized geometry
data_PrNbGe2Ru
_symmetry_space_group_name_H-M 'I -4 m 2'
_symmetry_Int_Tables_number 119
_symmetry_space_group_name_Hall 'I -4 -2'
_cell_length_a 4.133
_cell_length_b 4.133
_cell_length_c 11.518
_cell_angle_alpha 90.00
_cell_angle_beta 90.00
_cell_angle_gamma 90.00
loop_
_atom_site_label
_atom_site_type_symbol
_atom_site_fract_x
_atom_site_fract_y
_atom_site_fract_z
Pr1 Pr 0.000 0.000 0.000
Nb1 Nb 0.000 0.500 0.250
Ge1 Ge 0.000 0.000 0.387
Ru1 Ru 0.000 0.500 0.750
# calculated volume = 197 Å³ per cell
# raw total energy = -7.22 eV/atom
# energy of formation = -550 meV per atom

***

# PrTaNbGe2 | Alexandria | PBE | optimized geometry
data_PrTaNbGe2
_symmetry_space_group_name_H-M 'I -4 m 2'
_symmetry_Int_Tables_number 119
_symmetry_space_group_name_Hall 'I -4 -2'
_cell_length_a 4.103
_cell_length_b 4.103
_cell_length_c 12.228
_cell_angle_alpha 90.00
_cell_angle_beta 90.00
_cell_angle_gamma 90.00
loop_
_atom_site_label
_atom_site_type_symbol
_atom_site_fract_x
_atom_site_fract_y
_atom_site_fract_z
Pr1 Pr 0.000 0.000 0.000
Ta1 Ta 0.000 0.500 0.750
Nb1 Nb 0.000 0.500 0.250
Ge1 Ge 0.000 0.000 0.394
# calculated volume = 206 Å³ per cell
# raw total energy = -7.75 eV/atom
# energy of formation = -560 meV per atom

***

# Nb3GePt | Alexandria | PBE | optimized geometry
data_Nb3GePt
_symmetry_space_group_name_H-M 'P m -3 m'
_symmetry_Int_Tables_number 221
_symmetry_space_group_name_Hall '-P 4 2 3'
_cell_length_a 4.896
_cell_length_b 4.896
_cell_length_c 4.896
_cell_angle_alpha 90.00
_cell_angle_beta 90.00
_cell_angle_gamma 90.00
loop_
_atom_site_label
_atom_site_type_symbol
_atom_site_fract_x
_atom_site_fract_y
_atom_site_fract_z
Nb1 Nb 0.000 0.000 0.500
Ge1 Ge 0.500 0.500 0.500
Pt1 Pt 0.000 0.000 0.000
# calculated volume = 117 Å³ per cell
# raw total energy = -7.15 eV/atom
# energy of formation = 1025 meV per atom
# relative energy among the computed polymorphs = 214 meV per atom

***

# Nb2Ge2Pt | Alexandria | PBE | optimized geometry
data_Nb2Ge2Pt
_symmetry_space_group_name_H-M 'P 4/m b m'
_symmetry_Int_Tables_number 127
_symmetry_space_group_name_Hall '-P 4 2ab'
_cell_length_a 6.601
_cell_length_b 6.601
_cell_length_c 3.794
_cell_angle_alpha 90.00
_cell_angle_beta 90.00
_cell_angle_gamma 90.00
loop_
_atom_site_label
_atom_site_type_symbol
_atom_site_fract_x
_atom_site_fract_y
_atom_site_fract_z
Nb1 Nb 0.170 0.330 0.000
Ge1 Ge 0.134 0.634 0.500
Pt1 Pt 0.000 0.000 0.500
# calculated volume = 165 Å³ per cell
# raw total energy = -7.45 eV/atom
# energy of formation = -371 meV per atom

***

# NbGePt2 | Alexandria | PBE | optimized geometry
data_NbGePt2
_symmetry_space_group_name_H-M 'I -4 2 d'
_symmetry_Int_Tables_number 122
_symmetry_space_group_name_Hall 'I -4 2bw'
_cell_length_a 5.712
_cell_length_b 5.712
_cell_length_c 11.487
_cell_angle_alpha 90.00
_cell_angle_beta 90.00
_cell_angle_gamma 90.00
loop_
_atom_site_label
_atom_site_type_symbol
_atom_site_fract_x
_atom_site_fract_y
_atom_site_fract_z
Nb1 Nb 0.000 0.000 0.000
Ge1 Ge 0.000 0.000 0.500
Pt1 Pt 0.234 0.250 0.625
# calculated volume = 375 Å³ per cell
# raw total energy = -6.62 eV/atom
# energy of formation = 73 meV per atom

***

# NbGe2Pt2 | Alexandria | PBE | optimized geometry
data_NbGe2Pt2
_symmetry_space_group_name_H-M 'P 4/m b m'
_symmetry_Int_Tables_number 127
_symmetry_space_group_name_Hall '-P 4 2ab'
_cell_length_a 7.294
_cell_length_b 7.294
_cell_length_c 3.071
_cell_angle_alpha 90.00
_cell_angle_beta 90.00
_cell_angle_gamma 90.00
loop_
_atom_site_label
_atom_site_type_symbol
_atom_site_fract_x
_atom_site_fract_y
_atom_site_fract_z
Nb1 Nb 0.000 0.000 0.000
Ge1 Ge 0.149 0.351 0.000
Pt1 Pt 0.150 0.650 0.500
# calculated volume = 163 Å³ per cell
# raw total energy = -6.54 eV/atom
# energy of formation = -262 meV per atom

***

# NbGe2Pt | Alexandria | PBE | optimized geometry
data_NbGe2Pt
_symmetry_space_group_name_H-M 'P 4/m m m'
_symmetry_Int_Tables_number 123
_symmetry_space_group_name_Hall '-P 4 2'
_cell_length_a 4.394
_cell_length_b 4.394
_cell_length_c 3.346
_cell_angle_alpha 90.00
_cell_angle_beta 90.00
_cell_angle_gamma 90.00
loop_
_atom_site_label
_atom_site_type_symbol
_atom_site_fract_x
_atom_site_fract_y
_atom_site_fract_z
Nb1 Nb 0.000 0.000 0.000
Ge1 Ge 0.000 0.500 0.500
Pt1 Pt 0.500 0.500 0.000
# calculated volume = 65 Å³ per cell
# raw total energy = -6.67 eV/atom
# energy of formation = -335 meV per atom

***

# Nb2GePt2 | Alexandria | PBE | optimized geometry
data_Nb2GePt2
_symmetry_space_group_name_H-M 'P 4/m b m'
_symmetry_Int_Tables_number 127
_symmetry_space_group_name_Hall '-P 4 2ab'
_cell_length_a 7.987
_cell_length_b 7.987
_cell_length_c 2.821
_cell_angle_alpha 90.00
_cell_angle_beta 90.00
_cell_angle_gamma 90.00
loop_
_atom_site_label
_atom_site_type_symbol
_atom_site_fract_x
_atom_site_fract_y
_atom_site_fract_z
Nb1 Nb 0.169 0.331 0.000
Ge1 Ge 0.000 0.000 0.500
Pt1 Pt 0.126 0.626 0.500
# calculated volume = 180 Å³ per cell
# raw total energy = -7.66 eV/atom
# energy of formation = -287 meV per atom

***

# Nb3GePt | Alexandria | PBE | optimized geometry
data_Nb3GePt
_symmetry_space_group_name_H-M 'P m -3 m'
_symmetry_Int_Tables_number 221
_symmetry_space_group_name_Hall '-P 4 2 3'
_cell_length_a 4.691
_cell_length_b 4.691
_cell_length_c 4.691
_cell_angle_alpha 90.00
_cell_angle_beta 90.00
_cell_angle_gamma 90.00
loop_
_atom_site_label
_atom_site_type_symbol
_atom_site_fract_x
_atom_site_fract_y
_atom_site_fract_z
Nb1 Nb 0.000 0.000 0.500
Ge1 Ge 0.000 0.000 0.000
Pt1 Pt 0.500 0.500 0.500
# calculated volume = 103 Å³ per cell
# raw total energy = -7.36 eV/atom
# energy of formation = 811 meV per atom
# relative energy among the computed polymorphs = 0 meV per atom

***

# NbGe2Pt | Alexandria | PBE | optimized geometry
data_NbGe2Pt
_symmetry_space_group_name_H-M 'F m -3 m'
_symmetry_Int_Tables_number 225
_symmetry_space_group_name_Hall '-F 4 2 3'
_cell_length_a 6.371
_cell_length_b 6.371
_cell_length_c 6.371
_cell_angle_alpha 90.00
_cell_angle_beta 90.00
_cell_angle_gamma 90.00
loop_
_atom_site_label
_atom_site_type_symbol
_atom_site_fract_x
_atom_site_fract_y
_atom_site_fract_z
Nb1 Nb 0.000 0.000 0.000
Ge1 Ge 0.250 0.250 0.250
Pt1 Pt 0.000 0.000 0.500
# calculated volume = 259 Å³ per cell
# raw total energy = -6.48 eV/atom
# energy of formation = -141 meV per atom

***

# NbGe2Pt | Alexandria | PBE | optimized geometry
data_NbGe2Pt
_symmetry_space_group_name_H-M 'R -3 m'
_symmetry_Int_Tables_number 166
_symmetry_space_group_name_Hall '-R 3 2"'
_cell_length_a 2.9954
_cell_length_b 2.9954
_cell_length_c 27.8827
_cell_angle_alpha 90.00
_cell_angle_beta 90.00
_cell_angle_gamma 120.00
loop_
_atom_site_label
_atom_site_type_symbol
_atom_site_fract_x
_atom_site_fract_y
_atom_site_fract_z
Nb1 Nb 0.0000 0.0000 0.0000
Ge1 Ge 0.0000 0.0000 0.0948
Pt1 Pt 0.0000 0.0000 0.5000
# calculated volume = 217 Å³ per cell
# raw total energy = -6.25 eV/atom
# energy of formation = 83 meV per atom

***

# Nb2GePt | Alexandria | PBE | optimized geometry
data_Nb2GePt
_symmetry_space_group_name_H-M 'R -3 m'
_symmetry_Int_Tables_number 166
_symmetry_space_group_name_Hall '-R 3 2"'
_cell_length_a 2.8843
_cell_length_b 2.8843
_cell_length_c 29.6298
_cell_angle_alpha 90.00
_cell_angle_beta 90.00
_cell_angle_gamma 120.00
loop_
_atom_site_label
_atom_site_type_symbol
_atom_site_fract_x
_atom_site_fract_y
_atom_site_fract_z
Nb1 Nb 0.0000 0.0000 0.0886
Ge1 Ge 0.0000 0.0000 0.5000
Pt1 Pt 0.0000 0.0000 0.0000
# calculated volume = 213 Å³ per cell
# raw total energy = -7.52 eV/atom
# energy of formation = 181 meV per atom

***

# NbGePt6 | Alexandria | PBE | optimized geometry
data_NbGePt6
_symmetry_space_group_name_H-M 'F m m m'
_symmetry_Int_Tables_number 69
_symmetry_space_group_name_Hall '-F 2 2'
_cell_length_a 5.571
_cell_length_b 8.047
_cell_length_c 11.354
_cell_angle_alpha 90.00
_cell_angle_beta 90.00
_cell_angle_gamma 90.00
loop_
_atom_site_label
_atom_site_type_symbol
_atom_site_fract_x
_atom_site_fract_y
_atom_site_fract_z
Nb1 Nb 0.000 0.000 0.000
Ge1 Ge 0.000 0.000 0.500
Pt1 Pt 0.000 0.000 0.244
Pt2 Pt 0.250 0.250 0.123
# calculated volume = 509 Å³ per cell
# raw total energy = -6.73 eV/atom
# energy of formation = -360 meV per atom

***

# Nb6GePt | Alexandria | PBE | optimized geometry
data_Nb6GePt
_symmetry_space_group_name_H-M 'P m -3'
_symmetry_Int_Tables_number 200
_symmetry_space_group_name_Hall '-P 2 2 3'
_cell_length_a 5.196
_cell_length_b 5.196
_cell_length_c 5.196
_cell_angle_alpha 90.00
_cell_angle_beta 90.00
_cell_angle_gamma 90.00
loop_
_atom_site_label
_atom_site_type_symbol
_atom_site_fract_x
_atom_site_fract_y
_atom_site_fract_z
Nb1 Nb 0.000 0.249 0.500
Ge1 Ge 0.500 0.500 0.500
Pt1 Pt 0.000 0.000 0.000
# calculated volume = 140 Å³ per cell
# raw total energy = -9.22 eV/atom
# energy of formation = -336 meV per atom

***

# Nb4Ge2Pt | Alexandria | PBE | optimized geometry
data_Nb4Ge2Pt
_symmetry_space_group_name_H-M 'I 4/m m m'
_symmetry_Int_Tables_number 139
_symmetry_space_group_name_Hall '-I 4 2'
_cell_length_a 4.811
_cell_length_b 4.811
_cell_length_c 13.553
_cell_angle_alpha 90.00
_cell_angle_beta 90.00
_cell_angle_gamma 90.00
loop_
_atom_site_label
_atom_site_type_symbol
_atom_site_fract_x
_atom_site_fract_y
_atom_site_fract_z
Nb1 Nb 0.000 0.000 0.188
Nb2 Nb 0.000 0.500 0.000
Ge1 Ge 0.000 0.000 0.376
Pt1 Pt 0.000 0.000 0.000
# calculated volume = 314 Å³ per cell
# raw total energy = -7.12 eV/atom
# energy of formation = 820 meV per atom

***

# NbGe2Pt | Alexandria | PBE | optimized geometry
data_NbGe2Pt
_symmetry_space_group_name_H-M 'I -4 2 d'
_symmetry_Int_Tables_number 122
_symmetry_space_group_name_Hall 'I -4 2bw'
_cell_length_a 6.956
_cell_length_b 6.956
_cell_length_c 5.955
_cell_angle_alpha 90.00
_cell_angle_beta 90.00
_cell_angle_gamma 90.00
loop_
_atom_site_label
_atom_site_type_symbol
_atom_site_fract_x
_atom_site_fract_y
_atom_site_fract_z
Nb1 Nb 0.000 0.000 0.000
Ge1 Ge 0.226 0.750 0.625
Pt1 Pt 0.000 0.000 0.500
# calculated volume = 288 Å³ per cell
# raw total energy = -6.37 eV/atom
# energy of formation = -31 meV per atom

***

# Nb2GePt | Alexandria | PBE | optimized geometry
data_Nb2GePt
_symmetry_space_group_name_H-M 'I -4 2 d'
_symmetry_Int_Tables_number 122
_symmetry_space_group_name_Hall 'I -4 2bw'
_cell_length_a 7.215
_cell_length_b 7.215
_cell_length_c 5.581
_cell_angle_alpha 90.00
_cell_angle_beta 90.00
_cell_angle_gamma 90.00
loop_
_atom_site_label
_atom_site_type_symbol
_atom_site_fract_x
_atom_site_fract_y
_atom_site_fract_z
Nb1 Nb 0.248 0.750 0.125
Ge1 Ge 0.000 0.000 0.000
Pt1 Pt 0.000 0.000 0.500
# calculated volume = 290 Å³ per cell
# raw total energy = -7.80 eV/atom
# energy of formation = -101 meV per atom

***

# Pu2NbGe4Pt3 | Alexandria | PBE | optimized geometry
data_Pu2NbGe4Pt3
_symmetry_space_group_name_H-M 'P -4 m 2'
_symmetry_Int_Tables_number 115
_symmetry_space_group_name_Hall 'P -4 -2'
_cell_length_a 4.240
_cell_length_b 4.240
_cell_length_c 10.803
_cell_angle_alpha 90.00
_cell_angle_beta 90.00
_cell_angle_gamma 90.00
loop_
_atom_site_label
_atom_site_type_symbol
_atom_site_fract_x
_atom_site_fract_y
_atom_site_fract_z
Pu1 Pu 0.000 0.500 0.247
Nb1 Nb 0.000 0.000 0.500
Ge1 Ge 0.000 0.000 0.000
Ge2 Ge 0.000 0.500 0.643
Ge3 Ge 0.500 0.500 0.000
Pt1 Pt 0.000 0.500 0.873
Pt2 Pt 0.500 0.500 0.500
# calculated volume = 194 Å³ per cell
# raw total energy = -8.16 eV/atom
# energy of formation = -625 meV per atom

***

# RbNb2GePt | Alexandria | PBE | optimized geometry
data_RbNb2GePt
_symmetry_space_group_name_H-M 'P 4/m m m'
_symmetry_Int_Tables_number 123
_symmetry_space_group_name_Hall '-P 4 2'
_cell_length_a 4.878
_cell_length_b 4.878
_cell_length_c 4.987
_cell_angle_alpha 90.00
_cell_angle_beta 90.00
_cell_angle_gamma 90.00
loop_
_atom_site_label
_atom_site_type_symbol
_atom_site_fract_x
_atom_site_fract_y
_atom_site_fract_z
Rb1 Rb 0.000 0.000 0.000
Nb1 Nb 0.000 0.500 0.000
Ge1 Ge 0.500 0.500 0.500
Pt1 Pt 0.000 0.000 0.500
# calculated volume = 119 Å³ per cell
# raw total energy = -3.69 eV/atom
# energy of formation = 2659 meV per atom